Record 1
First-principles (PBE) data for a relaxed ZrTaN2O crystal, as listed in Alexandria via LeMat-Bulk.

a = 4.205 Å, b = 4.205 Å, c = 3.944 Å
α = 90.00°, β = 90.00°, γ = 90.00°
Fractional positions:
Zr1 0.000 0.000 0.000
Ta1 0.500 0.500 0.500
N1 0.000 0.500 0.000
N2 0.500 0.000 0.000
O1 0.000 0.000 0.500

## Properties
- SG: P4/mmm, No. 123
- Formation energy without anion corrections: -1.2 kJ per mole of atoms
- Size of the total moment: 1.00 Bohr magnetons per cell

***

Record 2
First-principles (PBE) data for a relaxed ZrTaN2O crystal, as listed in Alexandria via LeMat-Bulk.

a = 4.071 Å, b = 4.071 Å, c = 3.847 Å
α = 90.00°, β = 90.00°, γ = 90.00°
Fractional positions:
Zr1 0.000 0.000 0.000
Ta1 0.500 0.500 0.500
N1 0.000 0.500 0.500
N2 0.500 0.000 0.500
O1 0.500 0.500 0.000

## Properties
- SG: P4/mmm, No. 123
- Formation energy without anion corrections: -102.5 kJ per mole of atoms
- Size of the total moment: 0.00 Bohr magnetons per cell

***

Record 3
First-principles (PBE) data for a relaxed Tb3N2O crystal, as listed in Alexandria via LeMat-Bulk.

a = 6.014 Å, b = 6.014 Å, c = 6.014 Å
α = 146.46°, β = 131.77°, γ = 60.03°
Fractional positions:
Tb1 0.000 0.000 0.000
Tb2 0.328 0.328 0.000
Tb3 0.672 0.672 0.000
N1 0.167 0.667 0.500
N2 0.833 0.333 0.500
O1 0.500 0.000 0.500

## Properties
- SG: Immm, No. 71
- Formation energy without anion corrections: -207.4 kJ per mole of atoms
- Size of the total moment: 0.00 Bohr magnetons per cell

***

Record 4
First-principles (PBE) data for a relaxed Tb3NO3 crystal, as listed in Alexandria via LeMat-Bulk.

a = 6.303 Å, b = 6.303 Å, c = 6.237 Å
α = 93.60°, β = 93.60°, γ = 113.23°
Fractional positions:
Tb1 0.095 0.095 0.263
Tb2 0.219 0.528 0.756
Tb3 0.472 0.781 0.244
Tb4 0.528 0.219 0.756
Tb5 0.781 0.472 0.244
Tb6 0.905 0.905 0.737
N1 0.197 0.197 0.615
N2 0.803 0.803 0.385
O1 0.171 0.829 0.000
O2 0.254 0.746 0.500
O3 0.404 0.404 0.168
O4 0.596 0.596 0.832
O5 0.746 0.254 0.500
O6 0.829 0.171 0.000

## Properties
- SG: C2/m, No. 12
- Formation energy without anion corrections: -251.7 kJ per mole of atoms
- Size of the total moment: 0.00 Bohr magnetons per cell